{
  "formula": "CaSc2AlH",
  "functional": "PBE",
  "state": "optimized geometry",
  "lattice": [[4.561, 0.000, 0.000], [0.000, 4.561, 0.000], [0.000, 0.000, 4.623]],
  "species": ["Sc", "Sc", "H", "Ca", "Al"],
  "frac_coords": [[0.000, 0.500, 0.000], [0.500, 0.000, 0.000], [0.000, 0.000, 0.000], [0.000, 0.000, 0.500], [0.500, 0.500, 0.500]],
  "e_tot_ev_per_atom": -4.553,
  "spacegroup": "No. 123",
  "dos_ef_per_ev_cell": 4.40
}

***

{
  "formula": "Ca2AlSnH",
  "functional": "PBE",
  "state": "optimized geometry",
  "lattice": [[-3.002, 2.129, -3.063], [0.613, -3.597, -3.101], [-3.516, -2.232, 1.895]],
  "species": ["H", "Ca", "Ca", "Sn", "Al"],
  "frac_coords": [[0.000, 0.000, 0.000], [0.000, 0.500, 0.000], [0.500, 0.000, 0.000], [0.500, 0.500, 0.500], [0.000, 0.000, 0.500]],
  "e_tot_ev_per_atom": -3.370,
  "spacegroup": "No. 123",
  "dos_ef_per_ev_cell": 1.41
}

***

{
  "formula": "SrCa2AlH",
  "functional": "PBE",
  "state": "optimized geometry",
  "lattice": [[-4.676, -0.892, -1.560], [1.663, -3.799, -2.811], [-0.702, -3.233, 3.954]],
  "species": ["Sr", "Ca", "Ca", "Al", "H"],
  "frac_coords": [[0.000, 0.000, 0.500], [0.000, 0.500, 0.000], [0.500, 0.000, 0.000], [0.500, 0.500, 0.500], [0.000, 0.000, 0.000]],
  "e_tot_ev_per_atom": -2.748,
  "spacegroup": "No. 123",
  "dos_ef_per_ev_cell": 2.48
}